Ba2BiB2 | PBE-GGA | relaxed

The structure in CIF format:
```
data_Ba2BiB2
_cell_length_a 7.671
_cell_length_b 7.671
_cell_length_c 4.624
_cell_angle_alpha 90.00
_cell_angle_beta 90.00
_cell_angle_gamma 90.00
_symmetry_space_group_name_H-M 'P 1'
_symmetry_Int_Tables_number 1
loop_
_symmetry_equiv_pos_as_xyz
'x,y,z'
loop_
_atom_site_label
_atom_site_type_symbol
_atom_site_fract_x
_atom_site_fract_y
_atom_site_fract_z
_atom_site_occupancy
B1 B 0.427 0.927 0.000 1
B2 B 0.073 0.427 0.000 1
B3 B 0.573 0.073 0.000 1
B4 B 0.927 0.573 0.000 1
Ba1 Ba 0.804 0.304 0.500 1
Ba2 Ba 0.304 0.196 0.500 1
Ba3 Ba 0.196 0.696 0.500 1
Ba4 Ba 0.696 0.804 0.500 1
Bi1 Bi 0.000 0.000 0.000 1
Bi2 Bi 0.500 0.500 0.000 1
```

## Properties
Total moment   0.00 Bohr magnetons per cell
Energy relative to the elements   0.9 eV per formula unit
Calculated total energy   -40.41 eV for the cell shown
E above lowest polymorph   0 meV/atom
Space group   P4/mbm (127)

---

SrErCuPd | PBE-GGA | relaxed

The structure in CIF format:
```
data_SrErCuPd
_cell_length_a 5.079
_cell_length_b 5.079
_cell_length_c 5.079
_cell_angle_alpha 60.00
_cell_angle_beta 60.00
_cell_angle_gamma 60.00
_symmetry_space_group_name_H-M 'P 1'
_symmetry_Int_Tables_number 1
loop_
_symmetry_equiv_pos_as_xyz
'x,y,z'
loop_
_atom_site_label
_atom_site_type_symbol
_atom_site_fract_x
_atom_site_fract_y
_atom_site_fract_z
_atom_site_occupancy
Er1 Er 0.500 0.500 0.500 1
Pd1 Pd 0.750 0.750 0.750 1
Sr1 Sr 0.000 0.000 0.000 1
Cu1 Cu 0.250 0.250 0.250 1
```

## Properties
Total moment   0.00 Bohr magnetons per cell
Energy relative to the elements   -1.3 eV per formula unit
Calculated total energy   -16.86 eV for the cell shown
Space group   F-43m (216)

---

LiCdPt | PBE-GGA | relaxed

The structure in CIF format:
```
data_LiCdPt
_cell_length_a 2.886
_cell_length_b 2.886
_cell_length_c 6.978
_cell_angle_alpha 90.00
_cell_angle_beta 90.00
_cell_angle_gamma 120.00
_symmetry_space_group_name_H-M 'P 1'
_symmetry_Int_Tables_number 1
loop_
_symmetry_equiv_pos_as_xyz
'x,y,z'
loop_
_atom_site_label
_atom_site_type_symbol
_atom_site_fract_x
_atom_site_fract_y
_atom_site_fract_z
_atom_site_occupancy
Pt1 Pt 0.667 0.333 0.646 1
Li1 Li 0.333 0.667 0.359 1
Cd1 Cd 0.000 0.000 0.995 1
```

## Properties
Total moment   0.00 Bohr magnetons per cell
Energy relative to the elements   -0.9 eV per formula unit
Calculated total energy   -9.74 eV for the cell shown
E above lowest polymorph   178 meV/atom
Space group   P3m1 (156)

---

Sn4HgS8 | PBE-GGA | relaxed

The structure in CIF format:
```
data_Sn4HgS8
_cell_length_a 7.505
_cell_length_b 7.505
_cell_length_c 8.229
_cell_angle_alpha 62.87
_cell_angle_beta 62.87
_cell_angle_gamma 60.00
_symmetry_space_group_name_H-M 'P 1'
_symmetry_Int_Tables_number 1
loop_
_symmetry_equiv_pos_as_xyz
'x,y,z'
loop_
_atom_site_label
_atom_site_type_symbol
_atom_site_fract_x
_atom_site_fract_y
_atom_site_fract_z
_atom_site_occupancy
S1 S 0.761 0.761 0.213 1
S2 S 0.239 0.735 0.787 1
S3 S 0.265 0.761 0.213 1
S4 S 0.735 0.239 0.787 1
S5 S 0.264 0.264 0.209 1
S6 S 0.239 0.239 0.787 1
S7 S 0.736 0.736 0.791 1
S8 S 0.761 0.265 0.213 1
Sn1 Sn 0.500 0.000 0.000 1
Sn2 Sn 0.000 0.000 0.000 1
Sn3 Sn 0.000 0.500 0.000 1
Sn4 Sn 0.500 0.500 0.000 1
Hg1 Hg 0.500 0.500 0.500 1
```

## Properties
Total moment   0.00 Bohr magnetons per cell
Calculated total energy   -53.47 eV for the cell shown
E above lowest polymorph   0 meV/atom
Space group   R-3m (166)

---

NdErCo2 | PBE-GGA | relaxed

The structure in CIF format:
```
data_NdErCo2
_cell_length_a 4.789
_cell_length_b 4.789
_cell_length_c 4.789
_cell_angle_alpha 60.00
_cell_angle_beta 60.00
_cell_angle_gamma 60.00
_symmetry_space_group_name_H-M 'P 1'
_symmetry_Int_Tables_number 1
loop_
_symmetry_equiv_pos_as_xyz
'x,y,z'
loop_
_atom_site_label
_atom_site_type_symbol
_atom_site_fract_x
_atom_site_fract_y
_atom_site_fract_z
_atom_site_occupancy
Er1 Er 0.000 0.000 0.000 1
Co1 Co 0.250 0.250 0.250 1
Co2 Co 0.750 0.750 0.750 1
Nd1 Nd 0.500 0.500 0.500 1
```

## Properties
Total moment   0.71 Bohr magnetons per cell
Energy relative to the elements   -0.2 eV per formula unit
Calculated total energy   -23.76 eV for the cell shown
E above lowest polymorph   86 meV/atom
Space group   Fm-3m (225)

---

ZrBeW2 | PBE-GGA | relaxed

The structure in CIF format:
```
data_ZrBeW2
_cell_length_a 3.215
_cell_length_b 3.215
_cell_length_c 6.207
_cell_angle_alpha 90.00
_cell_angle_beta 90.00
_cell_angle_gamma 90.00
_symmetry_space_group_name_H-M 'P 1'
_symmetry_Int_Tables_number 1
loop_
_symmetry_equiv_pos_as_xyz
'x,y,z'
loop_
_atom_site_label
_atom_site_type_symbol
_atom_site_fract_x
_atom_site_fract_y
_atom_site_fract_z
_atom_site_occupancy
Be1 Be 0.500 0.500 0.789 1
W1 W 0.500 0.500 0.219 1
W2 W 0.000 0.000 0.983 1
Zr1 Zr 0.000 0.000 0.509 1
```

## Properties
Total moment   0.00 Bohr magnetons per cell
Energy relative to the elements   0.2 eV per formula unit
Calculated total energy   -37.99 eV for the cell shown
Space group   P4mm (99)

---

SnP2IrC | PBE-GGA | relaxed

The structure in CIF format:
```
data_SnP2IrC
_cell_length_a 4.955
_cell_length_b 4.009
_cell_length_c 4.955
_cell_angle_alpha 90.00
_cell_angle_beta 90.00
_cell_angle_gamma 90.00
_symmetry_space_group_name_H-M 'P 1'
_symmetry_Int_Tables_number 1
loop_
_symmetry_equiv_pos_as_xyz
'x,y,z'
loop_
_atom_site_label
_atom_site_type_symbol
_atom_site_fract_x
_atom_site_fract_y
_atom_site_fract_z
_atom_site_occupancy
Sn1 Sn 0.000 0.000 0.000 1
Ir1 Ir 0.500 0.500 0.500 1
P1 P 0.000 0.000 0.500 1
P2 P 0.500 0.000 0.000 1
C1 C 0.000 0.500 0.000 1
```

## Properties
Total moment   0.00 Bohr magnetons per cell
Energy relative to the elements   11.4 eV per formula unit
Calculated total energy   -21.55 eV for the cell shown
Space group   P4/mmm (123)

---

BaLi2NCl | PBE-GGA | relaxed

The structure in CIF format:
```
data_BaLi2NCl
_cell_length_a 4.302
_cell_length_b 4.302
_cell_length_c 5.635
_cell_angle_alpha 90.00
_cell_angle_beta 90.00
_cell_angle_gamma 90.00
_symmetry_space_group_name_H-M 'P 1'
_symmetry_Int_Tables_number 1
loop_
_symmetry_equiv_pos_as_xyz
'x,y,z'
loop_
_atom_site_label
_atom_site_type_symbol
_atom_site_fract_x
_atom_site_fract_y
_atom_site_fract_z
_atom_site_occupancy
Ba1 Ba 0.000 0.000 0.500 1
Cl1 Cl 0.500 0.500 0.500 1
Li1 Li 0.500 0.000 0.000 1
Li2 Li 0.000 0.500 0.000 1
N1 N 0.000 0.000 0.000 1
```

## Properties
Total moment   0.00 Bohr magnetons per cell
Calculated total energy   -20.37 eV for the cell shown
E above lowest polymorph   0 meV/atom
Space group   P4/mmm (123)

---

NaCdBi3 | PBE-GGA | relaxed

The structure in CIF format:
```
data_NaCdBi3
_cell_length_a 5.763
_cell_length_b 5.763
_cell_length_c 5.763
_cell_angle_alpha 90.00
_cell_angle_beta 90.00
_cell_angle_gamma 90.00
_symmetry_space_group_name_H-M 'P 1'
_symmetry_Int_Tables_number 1
loop_
_symmetry_equiv_pos_as_xyz
'x,y,z'
loop_
_atom_site_label
_atom_site_type_symbol
_atom_site_fract_x
_atom_site_fract_y
_atom_site_fract_z
_atom_site_occupancy
Bi1 Bi 0.000 0.000 0.500 1
Bi2 Bi 0.500 0.000 0.000 1
Bi3 Bi 0.000 0.500 0.000 1
Cd1 Cd 0.000 0.000 0.000 1
Na1 Na 0.500 0.500 0.500 1
```

## Properties
Total moment   0.00 Bohr magnetons per cell
Energy relative to the elements   1.7 eV per formula unit
Calculated total energy   -12.13 eV for the cell shown
E above lowest polymorph   421 meV/atom
Space group   Pm-3m (221)

---

Nd2Dy3Sc | PBE-GGA | relaxed

The structure in CIF format:
```
data_Nd2Dy3Sc
_cell_length_a 5.000
_cell_length_b 10.081
_cell_length_c 9.372
_cell_angle_alpha 122.54
_cell_angle_beta 105.47
_cell_angle_gamma 90.00
_symmetry_space_group_name_H-M 'P 1'
_symmetry_Int_Tables_number 1
loop_
_symmetry_equiv_pos_as_xyz
'x,y,z'
loop_
_atom_site_label
_atom_site_type_symbol
_atom_site_fract_x
_atom_site_fract_y
_atom_site_fract_z
_atom_site_occupancy
Nd1 Nd 0.337 0.837 0.675 1
Nd2 Nd 0.663 0.163 0.325 1
Nd3 Nd 0.338 0.337 0.675 1
Nd4 Nd 0.662 0.663 0.325 1
Dy1 Dy 0.164 0.414 0.329 1
Dy2 Dy 0.500 0.250 0.000 1
Dy3 Dy 0.836 0.086 0.671 1
Dy4 Dy 0.164 0.914 0.329 1
Dy5 Dy 0.500 0.750 0.000 1
Dy6 Dy 0.836 0.586 0.671 1
Sc1 Sc 0.000 0.000 0.000 1
Sc2 Sc 0.000 0.500 0.000 1
```

## Properties
Total moment   0.00 Bohr magnetons per cell
Energy relative to the elements   0.2 eV per formula unit
Calculated total energy   -58.89 eV for the cell shown
E above lowest polymorph   0 meV/atom
Space group   Cmmm (65)

---

Nb6Ga3Au | PBE-GGA | relaxed

The structure in CIF format:
```
data_Nb6Ga3Au
_cell_length_a 7.845
_cell_length_b 6.566
_cell_length_c 7.056
_cell_angle_alpha 90.00
_cell_angle_beta 84.36
_cell_angle_gamma 90.00
_symmetry_space_group_name_H-M 'P 1'
_symmetry_Int_Tables_number 1
loop_
_symmetry_equiv_pos_as_xyz
'x,y,z'
loop_
_atom_site_label
_atom_site_type_symbol
_atom_site_fract_x
_atom_site_fract_y
_atom_site_fract_z
_atom_site_occupancy
Ga1 Ga 0.500 0.500 0.000 1
Ga2 Ga 0.047 0.681 0.200 1
Ga3 Ga 0.453 0.181 0.300 1
Ga4 Ga 0.953 0.319 0.800 1
Ga5 Ga 0.000 0.000 0.500 1
Ga6 Ga 0.547 0.819 0.700 1
Nb1 Nb 0.206 0.328 0.071 1
Nb2 Nb 0.706 0.172 0.571 1
Nb3 Nb 0.354 0.875 0.050 1
Nb4 Nb 0.294 0.828 0.429 1
Nb5 Nb 0.794 0.672 0.929 1
Nb6 Nb 0.194 0.638 0.768 1
Nb7 Nb 0.694 0.862 0.268 1
Nb8 Nb 0.646 0.125 0.950 1
Nb9 Nb 0.806 0.362 0.232 1
Nb10 Nb 0.854 0.625 0.550 1
Nb11 Nb 0.146 0.375 0.450 1
Nb12 Nb 0.306 0.138 0.732 1
Au1 Au 0.500 0.500 0.500 1
Au2 Au 0.000 0.000 0.000 1
```

## Properties
Total moment   0.00 Bohr magnetons per cell
Energy relative to the elements   -0.2 eV per formula unit
Calculated total energy   -146.03 eV for the cell shown
Space group   P2_1/c (14)

---

CoReOs2 | PBE-GGA | relaxed

The structure in CIF format:
```
data_CoReOs2
_cell_length_a 4.112
_cell_length_b 4.112
_cell_length_c 4.627
_cell_angle_alpha 63.62
_cell_angle_beta 63.62
_cell_angle_gamma 60.00
_symmetry_space_group_name_H-M 'P 1'
_symmetry_Int_Tables_number 1
loop_
_symmetry_equiv_pos_as_xyz
'x,y,z'
loop_
_atom_site_label
_atom_site_type_symbol
_atom_site_fract_x
_atom_site_fract_y
_atom_site_fract_z
_atom_site_occupancy
Os1 Os 0.045 0.045 0.864 1
Os2 Os 0.266 0.266 0.202 1
Re1 Re 0.488 0.488 0.536 1
Co1 Co 0.701 0.701 0.898 1
```

## Properties
Total moment   0.00 Bohr magnetons per cell
Energy relative to the elements   1.8 eV per formula unit
Calculated total energy   -40.20 eV for the cell shown
E above lowest polymorph   364 meV/atom
Space group   R3m (160)

---

Ho4Sn2Bi | PBE-GGA | relaxed

The structure in CIF format:
```
data_Ho4Sn2Bi
_cell_length_a 6.145
_cell_length_b 6.530
_cell_length_c 10.211
_cell_angle_alpha 90.00
_cell_angle_beta 98.69
_cell_angle_gamma 90.00
_symmetry_space_group_name_H-M 'P 1'
_symmetry_Int_Tables_number 1
loop_
_symmetry_equiv_pos_as_xyz
'x,y,z'
loop_
_atom_site_label
_atom_site_type_symbol
_atom_site_fract_x
_atom_site_fract_y
_atom_site_fract_z
_atom_site_occupancy
Ho1 Ho 0.571 0.505 0.268 1
Ho2 Ho 0.965 0.750 0.830 1
Ho3 Ho 0.862 0.250 0.548 1
Ho4 Ho 0.429 0.495 0.732 1
Ho5 Ho 0.035 0.250 0.170 1
Ho6 Ho 0.571 0.995 0.268 1
Ho7 Ho 0.429 0.005 0.732 1
Ho8 Ho 0.138 0.750 0.452 1
Bi1 Bi 0.043 0.750 0.152 1
Bi2 Bi 0.957 0.250 0.848 1
Sn1 Sn 0.684 0.750 0.540 1
Sn2 Sn 0.316 0.250 0.460 1
Sn3 Sn 0.497 0.250 0.009 1
Sn4 Sn 0.503 0.750 0.991 1
```

## Properties
Total moment   0.00 Bohr magnetons per cell
Energy relative to the elements   -4.0 eV per formula unit
Calculated total energy   -68.36 eV for the cell shown
Space group   P2_1/m (11)